Material: Na4Tb3PuSe8
Method: DFT, PBE-GGA
State: optimized geometry

Computed properties:
Energy = -5.46 eV/atom

Cell lengths 8.363, 8.496, 8.362 Å; angles 119.50, 120.00, 90.00 degrees
Positions (direct):
Se (0.245, 0.731, 0.986)
Tb (0.000, 0.500, 0.500)
Se (0.755, 0.269, 0.510)
Na (0.500, 0.000, 0.500)
Na (0.000, 0.000, 0.000)
Pu (0.000, 0.500, 0.000)
Tb (0.500, 0.500, 0.000)
Se (0.259, 0.269, 0.014)
Se (0.741, 0.731, 0.986)
Se (0.755, 0.269, 0.014)
Tb (0.500, 0.500, 0.500)
Na (0.000, 0.000, 0.500)
Se (0.245, 0.731, 0.490)
Se (0.744, 0.731, 0.487)
Se (0.256, 0.269, 0.513)
Na (0.500, 0.000, 0.000)


Material: Co2PbW
Method: DFT, PBE-GGA
State: optimized geometry

Computed properties:
Energy = -6.86 eV/atom
Formation energy from the elements = 0.859 eV per atom

Cell lengths 6.910, 6.910, 5.636 Å; angles 52.19, 52.19, 90.00 degrees
Positions (direct):
Pb (0.000, 0.000, 0.000)
Co (0.165, 0.625, 0.250)
W (0.250, 0.750, 0.500)
Pb (0.750, 0.250, 0.500)
W (0.500, 0.500, 0.000)
Co (0.875, 0.835, 0.750)
Co (0.585, 0.125, 0.250)
Co (0.375, 0.415, 0.750)